# 1
Compound: Zr3Sn2Bi3
Source: the Alexandria database
Functional: PBE-GGA
Structure: optimized geometry

```
Zr3Sn2Bi3
1.0
8.957 0.000 0.000
-4.479 7.757 0.000
0.000 0.000 5.892
Zr Sn Bi
6 4 6
Direct
0.000 0.400 0.250
0.000 0.600 0.750
0.400 0.000 0.250
0.400 0.400 0.750
0.600 0.000 0.750
0.600 0.600 0.250
0.333 0.667 0.000
0.333 0.667 0.500
0.667 0.333 0.000
0.667 0.333 0.500
0.000 0.247 0.750
0.000 0.753 0.250
0.247 0.000 0.750
0.247 0.247 0.250
0.753 0.000 0.250
0.753 0.753 0.750
```

## Properties
DOS(E_F) in states/eV/f.u.: 5.4
Formation energy from the elements in kJ/mol of formula units: -201
Raw total energy in eV per atom: -5.922
Space group: P6_3/mcm (193)

***

# 2
Compound: ZrSn2Bi2
Source: the Alexandria database
Functional: PBE-GGA
Structure: optimized geometry

```
ZrSn2Bi2
1.0
7.902 0.000 0.000
0.000 7.902 0.000
0.000 0.000 4.563
Zr Sn Bi
2 4 4
Direct
0.000 0.000 0.000
0.500 0.500 0.000
0.147 0.353 0.000
0.353 0.853 0.000
0.647 0.147 0.000
0.853 0.647 0.000
0.164 0.664 0.500
0.336 0.164 0.500
0.664 0.836 0.500
0.836 0.336 0.500
```

## Properties
DOS(E_F) in states/eV/f.u.: 2.6
Formation energy from the elements in kJ/mol of formula units: 44
Raw total energy in eV per atom: -4.773
Space group: P4/mbm (127)

***

# 3
Compound: Zr5SnBi2
Source: the Alexandria database
Functional: PBE-GGA
Structure: optimized geometry

```
Zr5SnBi2
1.0
6.226 0.000 0.000
0.000 11.916 0.000
0.000 0.000 5.040
Zr Sn Bi
10 2 4
Direct
0.000 0.000 0.000
0.144 0.240 0.000
0.154 0.602 0.500
0.346 0.102 0.500
0.356 0.740 0.000
0.500 0.500 0.000
0.644 0.260 0.000
0.654 0.898 0.500
0.846 0.398 0.500
0.856 0.760 0.000
0.000 0.500 0.000
0.500 0.000 0.000
0.141 0.857 0.500
0.359 0.357 0.500
0.641 0.643 0.500
0.859 0.143 0.500
```

## Properties
DOS(E_F) in states/eV/f.u.: 6.6
ΔE to the lowest computed polymorph in meV/atom: 0
Formation energy from the elements in kJ/mol of formula units: -252
Raw total energy in eV per atom: -7.140
Space group: Pbam (55)

***

# 4
Compound: Zr6SnBi
Source: the Alexandria database
Functional: PBE-GGA
Structure: optimized geometry

```
Zr6SnBi
1.0
5.216 0.000 0.000
0.000 6.754 0.000
0.000 0.000 10.371
Zr Sn Bi
12 2 2
Direct
0.000 0.000 0.000
0.000 0.228 0.728
0.000 0.272 0.228
0.000 0.500 0.500
0.000 0.728 0.228
0.000 0.772 0.728
0.500 0.000 0.260
0.500 0.232 0.533
0.500 0.268 0.033
0.500 0.500 0.760
0.500 0.732 0.033
0.500 0.768 0.533
0.500 0.000 0.798
0.500 0.500 0.298
0.000 0.000 0.461
0.000 0.500 0.961
```

## Properties
DOS(E_F) in states/eV/f.u.: 6.8
ΔE to the lowest computed polymorph in meV/atom: 0
Formation energy from the elements in kJ/mol of formula units: -226
Raw total energy in eV per atom: -7.690
Space group: Amm2 (38)

***

# 5
Compound: Zr6SnBi
Source: the Alexandria database
Functional: PBE-GGA
Structure: optimized geometry

```
Zr6SnBi
1.0
4.019 2.321 3.264
-4.019 2.321 3.264
0.000 -4.641 3.264
Zr Sn Bi
6 1 1
Direct
0.001 0.500 0.747
0.253 0.999 0.500
0.500 0.253 0.999
0.500 0.747 0.001
0.747 0.001 0.500
0.999 0.500 0.253
0.500 0.500 0.500
0.000 0.000 0.000
```

## Properties
DOS(E_F) in states/eV/f.u.: 12.6
ΔE to the lowest computed polymorph in meV/atom: 8
Formation energy from the elements in kJ/mol of formula units: -220
Raw total energy in eV per atom: -7.681
Space group: R-3 (148)

***

# 6
Compound: Zr6Sn3Bi
Source: the Alexandria database
Functional: PBE-GGA
Structure: optimized geometry

```
Zr6Sn3Bi
1.0
4.723 -7.033 0.000
4.723 7.033 0.000
0.000 0.000 7.464
Zr Sn Bi
12 6 2
Direct
0.037 0.963 0.500
0.071 0.476 0.980
0.230 0.340 0.654
0.284 0.716 0.646
0.340 0.230 0.154
0.476 0.071 0.480
0.524 0.929 0.980
0.660 0.770 0.654
0.716 0.284 0.146
0.770 0.660 0.154
0.929 0.524 0.480
0.963 0.037 0.000
0.048 0.281 0.310
0.281 0.048 0.810
0.444 0.556 0.954
0.556 0.444 0.454
0.719 0.952 0.310
0.952 0.719 0.810
0.193 0.807 0.233
0.807 0.193 0.733
```

## Properties
DOS(E_F) in states/eV/f.u.: 9.7
Formation energy from the elements in kJ/mol of formula units: -246
Raw total energy in eV per atom: -6.973
Space group: Cmc2_1 (36)

***

# 7
Compound: Zr5SnBi
Source: the Alexandria database
Functional: PBE-GGA
Structure: optimized geometry

```
Zr5SnBi
1.0
6.136 -4.270 0.000
6.136 4.270 0.000
-3.909 0.000 6.777
Zr Sn Bi
10 2 2
Direct
0.065 0.935 0.750
0.134 0.308 0.109
0.206 0.716 0.402
0.284 0.794 0.098
0.308 0.134 0.609
0.692 0.866 0.391
0.716 0.206 0.902
0.794 0.284 0.598
0.866 0.692 0.891
0.935 0.065 0.250
0.000 0.500 0.500
0.500 0.000 0.000
0.448 0.552 0.750
0.552 0.448 0.250
```

## Properties
DOS(E_F) in states/eV/f.u.: 5.6
Formation energy from the elements in kJ/mol of formula units: 29
Raw total energy in eV per atom: -7.189
Space group: C2/c (15)

***

# 8
Compound: Zr2Sn2Bi
Source: the Alexandria database
Functional: PBE-GGA
Structure: optimized geometry

```
Zr2Sn2Bi
1.0
8.112 0.000 0.000
0.000 8.112 0.000
0.000 0.000 3.857
Zr Sn Bi
4 4 2
Direct
0.146 0.354 0.000
0.354 0.854 0.000
0.646 0.146 0.000
0.854 0.646 0.000
0.145 0.645 0.500
0.355 0.145 0.500
0.645 0.855 0.500
0.855 0.355 0.500
0.000 0.000 0.500
0.500 0.500 0.500
```

## Properties
DOS(E_F) in states/eV/f.u.: 5.3
ΔE to the lowest computed polymorph in meV/atom: 159
Formation energy from the elements in kJ/mol of formula units: -65
Raw total energy in eV per atom: -5.932
Space group: P4/mbm (127)